Entry 1:
GeMoAs2 (PBE, optimized geometry); space group = R-3m; energy of formation from the pure elements = 0.570 eV/atom
1.0
2.792 0.000 0.000
-1.396 2.418 0.000
0.000 0.000 33.702
Ge Mo As
3 3 6
Direct
0.000 0.000 0.000
0.333 0.667 0.667
0.667 0.333 0.333
0.000 0.000 0.500
0.333 0.667 0.167
0.667 0.333 0.833
0.000 0.000 0.421
0.000 0.000 0.579
0.333 0.667 0.088
0.333 0.667 0.246
0.667 0.333 0.754
0.667 0.333 0.912

Entry 2:
AlGa2Au5 (PBE, optimized geometry); space group = Cmcm; energy of formation from the pure elements = -0.190 eV/atom
1.0
2.456 -5.658 0.000
2.456 5.658 0.000
0.000 0.000 10.670
Al Ga Au
2 4 10
Direct
0.233 0.767 0.750
0.767 0.233 0.250
0.207 0.793 0.076
0.207 0.793 0.424
0.793 0.207 0.576
0.793 0.207 0.924
0.033 0.967 0.622
0.033 0.967 0.878
0.373 0.627 0.250
0.394 0.606 0.583
0.394 0.606 0.917
0.606 0.394 0.083
0.606 0.394 0.417
0.627 0.373 0.750
0.967 0.033 0.122
0.967 0.033 0.378

Entry 3:
EuTmZnRu (PBE, optimized geometry); space group = F-43m; energy of formation from the pure elements = -0.166 eV/atom
1.0
6.994 0.000 0.000
0.000 6.994 0.000
0.000 0.000 6.994
Eu Tm Zn Ru
4 4 4 4
Direct
0.000 0.000 0.000
0.000 0.500 0.500
0.500 0.000 0.500
0.500 0.500 0.000
0.000 0.000 0.500
0.000 0.500 0.000
0.500 0.000 0.000
0.500 0.500 0.500
0.250 0.250 0.750
0.250 0.750 0.250
0.750 0.250 0.250
0.750 0.750 0.750
0.250 0.250 0.250
0.250 0.750 0.750
0.750 0.250 0.750
0.750 0.750 0.250

Entry 4:
Ce7CdOs2 (PBE, optimized geometry); space group = Cmmm; energy of formation from the pure elements = 0.064 eV/atom
1.0
4.345 -6.721 0.000
4.345 6.721 0.000
0.000 0.000 5.274
Ce Cd Os
7 1 2
Direct
0.000 0.000 0.000
0.211 0.789 0.500
0.216 0.449 0.000
0.449 0.216 0.000
0.551 0.784 0.000
0.784 0.551 0.000
0.789 0.211 0.500
0.500 0.500 0.500
0.191 0.809 0.000
0.809 0.191 0.000

Entry 5:
Nd7BiAs5 (PBE, optimized geometry); space group = Cmcm; energy of formation from the pure elements = -1.334 eV/atom
1.0
2.156 -7.048 0.000
2.156 7.048 0.000
0.000 0.000 25.307
Nd Bi As
14 2 10
Direct
0.032 0.968 0.750
0.136 0.864 0.035
0.136 0.864 0.465
0.325 0.675 0.673
0.325 0.675 0.827
0.409 0.591 0.104
0.409 0.591 0.396
0.591 0.409 0.604
0.591 0.409 0.896
0.675 0.325 0.173
0.675 0.325 0.327
0.864 0.136 0.535
0.864 0.136 0.965
0.968 0.032 0.250
0.298 0.702 0.250
0.702 0.298 0.750
0.044 0.956 0.143
0.044 0.956 0.357
0.228 0.772 0.573
0.228 0.772 0.927
0.500 0.500 0.000
0.500 0.500 0.500
0.772 0.228 0.073
0.772 0.228 0.427
0.956 0.044 0.643
0.956 0.044 0.857

Entry 6:
LiHo2Er (PBE, optimized geometry); space group = R-3m; polymorph energy (0 for the lowest one) = 0.1061 eV/atom; energy of formation from the pure elements = 0.177 eV/atom
1.0
3.432 0.000 0.000
-1.716 2.972 0.000
0.000 0.000 36.152
Li Ho Er
3 6 3
Direct
0.000 0.000 0.000
0.333 0.667 0.667
0.667 0.333 0.333
0.000 0.000 0.089
0.000 0.000 0.911
0.333 0.667 0.578
0.333 0.667 0.756
0.667 0.333 0.244
0.667 0.333 0.422
0.000 0.000 0.500
0.333 0.667 0.167
0.667 0.333 0.833

Entry 7:
LiSb2Rh (PBE, optimized geometry); formation energy without anion corrections = -0.23 eV/atom; space group = C2/m; polymorph energy (0 for the lowest one) = 0.1261 eV/atom
1.0
6.177 0.000 0.000
0.000 7.539 0.000
-0.073 0.000 3.273
Li Sb Rh
2 4 2
Direct
0.000 0.000 0.000
0.500 0.500 0.000
0.250 0.250 0.500
0.250 0.750 0.500
0.750 0.250 0.500
0.750 0.750 0.500
0.000 0.500 0.000
0.500 0.000 0.000

Entry 8:
TbPuCd4 (PBE, optimized geometry); space group = F-43m; polymorph energy (0 for the lowest one) = 0.0000 eV/atom; energy of formation from the pure elements = -0.131 eV/atom
1.0
0.000 4.199 4.199
4.199 0.000 4.199
4.199 4.199 0.000
Tb Pu Cd
1 1 4
Direct
0.000 0.000 0.000
0.250 0.250 0.250
0.125 0.625 0.625
0.625 0.125 0.625
0.625 0.625 0.125
0.625 0.625 0.625

Entry 9:
Ac2SnRh (PBE, optimized geometry); space group = P4/mmm; energy of formation from the pure elements = -0.589 eV/atom
1.0
3.743 0.000 0.000
0.000 3.743 0.000
0.000 0.000 8.529
Ac Sn Rh
2 1 1
Direct
0.000 0.000 0.212
0.000 0.000 0.788
0.500 0.500 0.500
0.500 0.500 0.000

Entry 10:
NaTaBiSb (PBE, optimized geometry); formation energy without anion corrections = 0.17 eV/atom; space group = Cm; polymorph energy (0 for the lowest one) = 0.1921 eV/atom
1.0
9.819 0.000 0.000
0.000 4.135 0.000
-4.169 0.000 5.027
Na Ta Bi Sb
2 2 2 2
Direct
0.000 0.000 0.000
0.500 0.500 0.000
0.015 0.500 0.621
0.515 0.000 0.621
0.297 0.500 0.214
0.797 0.000 0.214
0.216 0.000 0.624
0.716 0.500 0.624

no.,DFT total energy (eV/cell)
1,-67.398
2,-55.414
3,-103.841
4,-64.275
5,-155.680
6,-44.770
7,-36.820
8,-23.406
9,-21.929
10,-40.975